{"formula": "NdSmTm", "functional": "PBE", "state": "relaxed", "sg": "I4mm, No. 107", "ef_mev_per_atom": 25.3, "relative_energy_mev_per_atom": 6, "lattice": [[3.606, 0.000, 0.000], [0.000, 3.606, 0.000], [-1.803, -1.803, 7.622]], "species": ["Tm", "Nd", "Sm"], "frac_coords": [[0.667, 0.667, 0.335], [0.002, 0.002, 0.004], [0.331, 0.331, 0.662]]}



{"formula": "MnNbNi", "functional": "PBE", "state": "relaxed", "sg": "Cmcm, No. 63", "ef_mev_per_atom": -87.2, "relative_energy_mev_per_atom": 66, "lattice": [[-1.798, 2.509, -1.583], [-3.253, -1.390, 1.491], [1.601, 2.318, 5.657]], "species": ["Mn", "Mn", "Nb", "Nb", "Ni", "Ni"], "frac_coords": [[0.586, 0.250, 0.173], [0.414, 0.750, 0.827], [0.905, 0.250, 0.810], [0.095, 0.750, 0.190], [0.247, 0.250, 0.494], [0.753, 0.750, 0.506]]}



{"formula": "CeCd2Au", "functional": "PBE", "state": "relaxed", "sg": "R-3m, No. 166", "ef_mev_per_atom": 81.5, "lattice": [[3.014, 0.000, 0.000], [1.507, 2.610, 0.000], [1.507, 0.870, 11.544]], "species": ["Au", "Ce", "Cd", "Cd"], "frac_coords": [[0.500, 0.500, 0.500], [0.000, 0.000, 0.000], [0.095, 0.095, 0.714], [0.905, 0.905, 0.286]]}



{"formula": "TlFeAu", "functional": "PBE", "state": "relaxed", "sg": "F-43m, No. 216", "ef_mev_per_atom": 443.6, "relative_energy_mev_per_atom": 81, "lattice": [[-1.672, 3.246, 2.564], [0.438, -0.211, 4.435], [2.745, 2.816, 2.107]], "species": ["Au", "Fe", "Tl"], "frac_coords": [[0.500, 0.500, 0.500], [0.750, 0.750, 0.750], [0.000, 0.000, 0.000]]}



{"formula": "SrMg4Ga", "functional": "PBE", "state": "relaxed", "sg": "F-43m, No. 216", "ef_mev_per_atom": 24.4, "relative_energy_mev_per_atom": 182, "lattice": [[6.118, 0.000, 0.000], [3.059, 5.299, 0.000], [3.059, 1.766, 4.996]], "species": ["Sr", "Mg", "Mg", "Mg", "Mg", "Ga"], "frac_coords": [[0.250, 0.250, 0.250], [0.626, 0.626, 0.123], [0.626, 0.123, 0.626], [0.626, 0.626, 0.626], [0.123, 0.626, 0.626], [0.000, 0.000, 0.000]]}



{"formula": "CuGeN2F", "functional": "PBE", "state": "relaxed", "e_form_raw_mev_per_atom": 813, "sg": "P4/mmm, No. 123", "relative_energy_mev_per_atom": 239, "lattice": [[3.708, 0.000, 0.000], [0.000, 3.708, 0.000], [0.000, 0.000, 4.444]], "species": ["Ge", "N", "N", "Cu", "F"], "frac_coords": [[0.500, 0.500, 0.500], [0.000, 0.500, 0.000], [0.500, 0.000, 0.000], [0.000, 0.000, 0.000], [0.000, 0.000, 0.500]]}



{"formula": "LaMg3Mn", "functional": "PBE", "state": "relaxed", "sg": "Pm-3m, No. 221", "ef_mev_per_atom": 281.4, "relative_energy_mev_per_atom": 0, "lattice": [[-2.475, -4.166, 1.480], [3.150, -2.852, -2.760], [3.102, -0.428, 3.983]], "species": ["Mg", "Mg", "Mg", "Mn", "La"], "frac_coords": [[0.000, 0.500, 0.000], [0.000, 0.000, 0.500], [0.500, 0.000, 0.000], [0.000, 0.000, 0.000], [0.500, 0.500, 0.500]]}



{"formula": "Cu2PbCl6", "functional": "PBE", "state": "relaxed", "e_form_raw_mev_per_atom": -667, "sg": "C2/c, No. 15", "lattice": [[-1.139, 4.953, -4.974], [-1.258, -4.613, -7.529], [-8.816, -0.138, -1.341]], "species": ["Cu", "Cu", "Cu", "Cu", "Pb", "Pb", "Cl", "Cl", "Cl", "Cl", "Cl", "Cl", "Cl", "Cl", "Cl", "Cl", "Cl", "Cl"], "frac_coords": [[0.256, 0.653, 0.782], [0.244, 0.218, 0.347], [0.744, 0.347, 0.218], [0.756, 0.782, 0.653], [0.250, 0.155, 0.845], [0.750, 0.845, 0.155], [0.457, 0.803, 0.591], [0.043, 0.409, 0.197], [0.543, 0.197, 0.409], [0.957, 0.591, 0.803], [0.946, 0.765, 0.416], [0.554, 0.584, 0.235], [0.054, 0.235, 0.584], [0.446, 0.416, 0.765], [0.151, 0.821, 0.950], [0.349, 0.050, 0.179], [0.849, 0.179, 0.050], [0.651, 0.950, 0.821]]}



{"formula": "Ba2TlCoN", "functional": "PBE", "state": "relaxed", "e_form_raw_mev_per_atom": -290, "sg": "P4/mmm, No. 123", "lattice": [[6.053, 0.000, 0.000], [0.000, 6.053, 0.000], [0.000, 0.000, 3.579]], "species": ["Tl", "Co", "Ba", "Ba", "N"], "frac_coords": [[0.500, 0.500, 0.500], [0.000, 0.000, 0.500], [0.000, 0.500, 0.000], [0.500, 0.000, 0.000], [0.000, 0.000, 0.000]]}



{"formula": "DyInNi", "functional": "PBE", "state": "relaxed", "sg": "P-62m, No. 189", "ef_mev_per_atom": -503.3, "lattice": [[7.488, 0.000, 0.000], [-3.744, 6.484, 0.000], [0.000, 0.000, 3.761]], "species": ["Dy", "Dy", "Dy", "In", "In", "In", "Ni", "Ni", "Ni"], "frac_coords": [[0.411, 0.411, 0.500], [0.589, 0.000, 0.500], [0.000, 0.589, 0.500], [0.745, 0.745, 0.000], [0.000, 0.255, 0.000], [0.255, 0.000, 0.000], [0.667, 0.333, 0.000], [0.333, 0.667, 0.000], [0.000, 0.000, 0.500]]}



{"formula": "Rb2CoTcMo", "functional": "PBE", "state": "relaxed", "sg": "P4/mmm, No. 123", "ef_mev_per_atom": 2137.4, "lattice": [[6.603, 0.000, 0.000], [0.000, 4.393, 0.000], [0.000, 0.000, 6.603]], "species": ["Mo", "Co", "Tc", "Rb", "Rb"], "frac_coords": [[0.000, 0.500, 0.000], [0.000, 0.000, 0.000], [0.500, 0.500, 0.500], [0.000, 0.000, 0.500], [0.500, 0.000, 0.000]]}



{"formula": "V5CrP2", "functional": "PBE", "state": "relaxed", "sg": "Immm, No. 71", "ef_mev_per_atom": -341.0, "lattice": [[3.210, 0.000, 0.000], [1.605, 5.862, -0.325], [1.605, 1.454, 5.688]], "species": ["V", "V", "V", "V", "V", "Cr", "P", "P"], "frac_coords": [[0.000, 0.500, 0.500], [0.652, 0.535, 0.161], [0.348, 0.465, 0.839], [0.348, 0.839, 0.465], [0.652, 0.161, 0.535], [0.000, 0.000, 0.000], [0.720, 0.780, 0.780], [0.280, 0.220, 0.220]]}